Record 1
# BaZnRu2

A relaxed structure of BaZnRu2 (GGA-PBE, the Alexandria database).

The magnetic moment comes out at 2.370 μB per formula unit. The calculation puts the uncorrected energy at -4.531 eV per atom.

Cell: 3.658 4.473 4.878 Å, 90.00 90.00 90.00°
Space group Pmmm (No. 47)
Asymmetric unit:
Ba 0.000 0.000 0.000 [1 per cell]
Zn 0.500 0.000 0.500 [1 per cell]
Ru 0.000 0.500 0.500 [1 per cell]
Ru 0.500 0.500 0.000 [1 per cell]

***

Record 2
# UCoGe2

A relaxed structure of UCoGe2 (GGA-PBE, the Alexandria database).

The magnetic moment comes out at 0.816 μB per formula unit. The calculation puts the uncorrected energy at -6.976 eV per atom.

Cell: 2.891 2.891 7.556 Å, 90.00 90.00 90.00°
Space group P4/mmm (No. 123)
Asymmetric unit:
U 0.000 0.000 0.000 [1 per cell]
Co 0.000 0.000 0.500 [1 per cell]
Ge 0.500 0.500 0.302 [2 per cell]

***

Record 3
# Tl3Hg2Bi2

A relaxed structure of Tl3Hg2Bi2 (GGA-PBE, the Alexandria database).

The magnetic moment comes out at 0.000 μB per formula unit. The calculation puts the uncorrected energy at -2.223 eV per atom.

Cell: 9.441 5.361 9.059 Å, 90.00 108.80 90.00°
Space group C2/m (No. 12)
Asymmetric unit:
Tl 0.000 0.000 0.000 [2 per cell]
Tl 0.077 0.500 0.731 [4 per cell]
Hg 0.214 0.500 0.142 [4 per cell]
Bi 0.146 0.000 0.438 [4 per cell]

***

Record 4
# TbZrPbAu

A relaxed structure of TbZrPbAu (GGA-PBE, the Alexandria database).

The magnetic moment comes out at 0.000 μB per formula unit. The calculation puts the uncorrected energy at -5.427 eV per atom.

Cell: 7.251 7.251 7.251 Å, 90.00 90.00 90.00°
Space group F-43m (No. 216)
Asymmetric unit:
Tb 0.000 0.000 0.000 [4 per cell]
Zr 0.000 0.000 0.500 [4 per cell]
Pb 0.250 0.250 0.250 [4 per cell]
Au 0.250 0.250 0.750 [4 per cell]

***

Record 5
# PrBePPd

A relaxed structure of PrBePPd (GGA-PBE, the Alexandria database).

The magnetic moment comes out at 0.000 μB per formula unit. The calculation puts the uncorrected energy at -5.707 eV per atom.

Cell: 4.156 4.156 8.744 Å, 90.00 90.00 90.00°
Space group P4/nmm (No. 129, origin choice 2)
Asymmetric unit:
Pr 0.250 0.250 0.185 [2 per cell]
Be 0.250 0.250 0.615 [2 per cell]
P 0.250 0.250 0.854 [2 per cell]
Pd 0.250 0.750 0.500 [2 per cell]

***

Record 6
# YInAg2O

A relaxed structure of YInAg2O (GGA-PBE, the Alexandria database).

The magnetic moment comes out at 0.000 μB per formula unit. For the raw formation energy, the calculation gives -0.46 eV/f.u. The calculation puts the uncorrected energy at -4.065 eV per atom.

Cell: 4.548 4.548 5.007 Å, 90.00 90.00 90.00°
Space group P4/mmm (No. 123)
Asymmetric unit:
Y 0.000 0.000 0.000 [1 per cell]
In 0.500 0.500 0.000 [1 per cell]
Ag 0.000 0.500 0.500 [2 per cell]
O 0.500 0.500 0.500 [1 per cell]

***

Record 7
# VBr3N

A relaxed structure of VBr3N (GGA-PBE, the Alexandria database).

The magnetic moment comes out at 5.000 μB per formula unit. For the raw formation energy, the calculation gives 2.85 eV/f.u. The calculation puts the uncorrected energy at -3.922 eV per atom.

Cell: 5.101 5.101 5.101 Å, 90.00 90.00 90.00°
Space group Pm-3m (No. 221)
Asymmetric unit:
V 0.000 0.000 0.000 [1 per cell]
Br 0.000 0.000 0.500 [3 per cell]
N 0.500 0.500 0.500 [1 per cell]

***

Record 8
# Pm8Y5Ho

A relaxed structure of Pm8Y5Ho (GGA-PBE, the Alexandria database).

The magnetic moment comes out at 0.000 μB per formula unit. The calculation puts the uncorrected energy at -5.091 eV per atom.

Cell: 9.715 9.715 10.264 Å, 90.00 90.00 90.00°
Space group I-4 (No. 82)
Asymmetric unit:
Pm 0.068 0.329 0.405 [8 per cell]
Pm 0.091 0.178 0.747 [8 per cell]
Y 0.000 0.000 0.500 [2 per cell]
Y 0.110 0.205 0.075 [8 per cell]
Ho 0.000 0.500 0.750 [2 per cell]

***

Record 9
# In2Sn2Sb

A relaxed structure of In2Sn2Sb (GGA-PBE, the Alexandria database).

The magnetic moment comes out at 0.000 μB per formula unit. For the raw formation energy, the calculation gives 0.75 eV/f.u. The calculation puts the uncorrected energy at -3.372 eV per atom.

Cell: 4.207 4.207 16.395 Å, 90.00 90.00 90.00°
Space group I4/mmm (No. 139)
Asymmetric unit:
In 0.000 0.500 0.250 [4 per cell]
Sn 0.000 0.000 0.093 [4 per cell]
Sb 0.000 0.000 0.500 [2 per cell]

***

Record 10
# Li2YHg3

A relaxed structure of Li2YHg3 (GGA-PBE, the Alexandria database).

The magnetic moment comes out at 0.000 μB per formula unit. The calculation puts the uncorrected energy at -2.246 eV per atom.

Cell: 4.6760 4.6760 13.5187 Å, 90.00 90.00 120.00°
Space group P6_3/mmc (No. 194)
Asymmetric unit:
Li 0.3333 0.6667 0.0720 [4 per cell]
Y 0.0000 0.0000 0.2500 [2 per cell]
Hg 0.0000 0.0000 0.0000 [2 per cell]
Hg 0.3333 0.6667 0.6321 [4 per cell]

***

Record 11
# Ca2HSeS

A relaxed structure of Ca2HSeS (GGA-PBE, the Alexandria database).

The magnetic moment comes out at 0.000 μB per formula unit. The calculation puts the uncorrected energy at -4.321 eV per atom.

Cell: 6.995 4.244 7.419 Å, 90.00 108.28 90.00°
Space group Cm (No. 8)
Asymmetric unit:
Ca 0.000 0.000 0.000 [2 per cell]
Ca 0.173 0.000 0.531 [2 per cell]
H 0.417 0.500 0.264 [2 per cell]
Se 0.421 0.000 0.261 [2 per cell]
S 0.089 0.500 0.772 [2 per cell]

***

Record 12
# ReMoIr

A relaxed structure of ReMoIr (GGA-PBE, the Alexandria database).

The magnetic moment comes out at 0.000 μB per formula unit. The calculation puts the uncorrected energy at -10.791 eV per atom.

Cell: 2.751 2.751 11.978 Å, 90.00 90.00 90.00°
Space group I4mm (No. 107)
Asymmetric unit:
Re 0.000 0.000 0.000 [2 per cell]
Mo 0.000 0.000 0.672 [2 per cell]
Ir 0.000 0.000 0.342 [2 per cell]

***

Record 13
# AgB2SbPb

A relaxed structure of AgB2SbPb (GGA-PBE, the Alexandria database).

The magnetic moment comes out at 0.200 μB per formula unit. For the raw formation energy, the calculation gives 9.64 eV/f.u. The calculation puts the uncorrected energy at -2.879 eV per atom.

Cell: 4.764 4.764 6.384 Å, 90.00 90.00 90.00°
Space group P4/mmm (No. 123)
Asymmetric unit:
Ag 0.000 0.000 0.000 [1 per cell]
B 0.000 0.500 0.500 [2 per cell]
Sb 0.500 0.500 0.000 [1 per cell]
Pb 0.500 0.500 0.500 [1 per cell]

***

Record 14
# VGaPdI2

A relaxed structure of VGaPdI2 (GGA-PBE, the Alexandria database).

The magnetic moment comes out at 3.752 μB per formula unit. For the raw formation energy, the calculation gives 3.57 eV/f.u. The calculation puts the uncorrected energy at -3.375 eV per atom.

Cell: 5.741 5.741 4.710 Å, 90.00 90.00 90.00°
Space group P4/mmm (No. 123)
Asymmetric unit:
V 0.000 0.000 0.000 [1 per cell]
Ga 0.500 0.500 0.500 [1 per cell]
Pd 0.500 0.500 0.000 [1 per cell]
I 0.000 0.500 0.500 [2 per cell]

***

Record 15
# TaSe2I2

A relaxed structure of TaSe2I2 (GGA-PBE, the Alexandria database).

The magnetic moment comes out at 1.099 μB per formula unit. For the raw formation energy, the calculation gives 0.81 eV/f.u. The calculation puts the uncorrected energy at -4.223 eV per atom.

Cell: 6.674 6.674 8.387 Å, 90.00 90.00 90.00°
Space group P4/mbm (No. 127)
Asymmetric unit:
Ta 0.000 0.000 0.000 [2 per cell]
Se 0.159 0.341 0.000 [4 per cell]
I 0.148 0.648 0.500 [4 per cell]

***

Record 16
# Rb4TbPu3O12

A relaxed structure of Rb4TbPu3O12 (GGA-PBE, the Alexandria database).

The magnetic moment comes out at 7.000 μB per formula unit. For the raw formation energy, the calculation gives -50.98 eV/f.u. The calculation puts the uncorrected energy at -8.099 eV per atom.

Cell: 8.650 8.650 8.650 Å, 90.00 90.00 90.00°
Space group Im-3m (No. 229)
Asymmetric unit:
Rb 0.250 0.250 0.250 [8 per cell]
Tb 0.000 0.000 0.000 [2 per cell]
Pu 0.000 0.000 0.500 [6 per cell]
O 0.000 0.000 0.267 [12 per cell]
O 0.000 0.250 0.500 [12 per cell]

***

Record 17
# SrTiTe2

A relaxed structure of SrTiTe2 (GGA-PBE, the Alexandria database).

The magnetic moment comes out at 0.627 μB per formula unit. For the raw formation energy, the calculation gives -2.47 eV/f.u. The calculation puts the uncorrected energy at -4.582 eV per atom.

Cell: 4.0327 4.0327 29.4823 Å, 90.00 90.00 120.00°
Space group R-3m (No. 166, hexagonal axes)
Asymmetric unit:
Sr 0.0000 0.0000 0.0000 [3 per cell]
Ti 0.0000 0.0000 0.5000 [3 per cell]
Te 0.0000 0.0000 0.1117 [6 per cell]

***

Record 18
# P2H2I3

A relaxed structure of P2H2I3 (GGA-PBE, the Alexandria database).

The magnetic moment comes out at 0.000 μB per formula unit. The calculation puts the uncorrected energy at -2.958 eV per atom.

Cell: 3.700 6.178 11.292 Å, 104.75 92.42 100.46°
Space group P-1 (No. 2)
Asymmetric unit:
P 0.239 0.458 0.048 [2 per cell]
H 0.186 0.699 0.429 [2 per cell]
I 0.000 0.000 0.000 [1 per cell]
I 0.210 0.337 0.653 [2 per cell]

***

Record 19
# TmTlPd

A relaxed structure of TmTlPd (GGA-PBE, the Alexandria database).

The magnetic moment comes out at 0.000 μB per formula unit. The calculation puts the uncorrected energy at -4.528 eV per atom.

Cell: 4.7419 4.7419 3.4485 Å, 90.00 90.00 120.00°
Space group P-6m2 (No. 187)
Asymmetric unit:
Tm 0.0000 0.0000 0.0000 [1 per cell]
Tl 0.3333 0.6667 0.5000 [1 per cell]
Pd 0.6667 0.3333 0.5000 [1 per cell]

***

Record 20
# ScSi2Ru3

A relaxed structure of ScSi2Ru3 (GGA-PBE, the Alexandria database).

The magnetic moment comes out at 0.000 μB per formula unit. For the raw formation energy, the calculation gives -3.41 eV/f.u. The calculation puts the uncorrected energy at -8.069 eV per atom.

Cell: 15.863 3.977 9.228 Å, 90.00 107.68 90.00°
Space group C2/m (No. 12)
Asymmetric unit:
Sc 0.000 0.000 0.000 [2 per cell]
Sc 0.163 0.000 0.706 [4 per cell]
Si 0.040 0.500 0.790 [4 per cell]
Si 0.143 0.500 0.452 [4 per cell]
Si 0.190 0.000 0.124 [4 per cell]
Ru 0.000 0.500 0.500 [2 per cell]
Ru 0.037 0.000 0.345 [4 per cell]
Ru 0.110 0.500 0.183 [4 per cell]
Ru 0.183 0.500 0.964 [4 per cell]
Ru 0.211 0.000 0.389 [4 per cell]